CoH3O | PBE+U | optimized geometry

The value obtained for the offset from the most stable computed form is 0.0 meV per atom. The volume comes out at 31 Å³/f.u. The value obtained for the density of states at the Fermi level is 1.0 states/eV/cell.

The space group is Pm-3m (No. 221) and the conventional cell measures 3.141, 3.141 and 3.141 Å, with angles of 90.00, 90.00 and 90.00 degrees. The asymmetric unit holds Co at (0.000, 0.000, 0.000), H at (0.000, 0.000, 0.500) and O at (0.500, 0.500, 0.500).